1.
First-principles (GGA-PBE) data for CsTl12Pb7 after structural relaxation, as listed in Alexandria.

Results
Its formation energy is 0.032 eV per atom. Its crystal system is trigonal.

Cell lengths 10.053, 10.053, 10.053 Å; angles 112.53, 112.53, 112.53 degrees
Atoms (fractional coordinates):
1 Cs 0.000 0.000 0.000
2 Tl 0.000 0.266 0.734
3 Tl 0.000 0.734 0.266
4 Tl 0.076 0.412 0.412
5 Tl 0.266 0.000 0.734
6 Tl 0.266 0.734 0.000
7 Tl 0.412 0.076 0.412
8 Tl 0.412 0.412 0.076
9 Tl 0.588 0.588 0.924
10 Tl 0.588 0.924 0.588
11 Tl 0.734 0.000 0.266
12 Tl 0.734 0.266 0.000
13 Tl 0.924 0.588 0.588
14 Pb 0.196 0.196 0.542
15 Pb 0.196 0.542 0.196
16 Pb 0.458 0.804 0.804
17 Pb 0.500 0.500 0.500
18 Pb 0.542 0.196 0.196
19 Pb 0.804 0.458 0.804
20 Pb 0.804 0.804 0.458

2.
First-principles (GGA-PBE) data for CsTl2Pb2 after structural relaxation, as listed in Alexandria.

Results
Its formation energy is -0.028 eV per atom. Its crystal system is triclinic. As for the offset from the most stable computed form: 63 meV/atom.

Cell lengths 7.584, 7.672, 9.113 Å; angles 78.34, 65.67, 60.59 degrees
Atoms (fractional coordinates):
1 Cs 0.125 0.250 0.251
2 Cs 0.875 0.750 0.749
3 Tl 0.172 0.157 0.750
4 Tl 0.425 0.655 0.249
5 Tl 0.575 0.345 0.751
6 Tl 0.828 0.843 0.250
7 Pb 0.265 0.752 0.965
8 Pb 0.483 0.751 0.535
9 Pb 0.517 0.249 0.465
10 Pb 0.735 0.248 0.035

3.
First-principles (GGA-PBE) data for CsTlPb2 after structural relaxation, as listed in Alexandria.

Results
Its formation energy is 0.083 eV per atom. Its crystal system is tetragonal. As for the offset from the most stable computed form: 183 meV/atom.

Cell lengths 11.721, 11.721, 11.721 Å; angles 150.54, 150.54, 42.14 degrees
Atoms (fractional coordinates):
1 Cs 0.000 0.000 0.000
2 Cs 0.750 0.250 0.500
3 Tl 0.250 0.750 0.500
4 Tl 0.500 0.500 0.000
5 Pb 0.287 0.625 0.162
6 Pb 0.375 0.537 0.662
7 Pb 0.463 0.125 0.838
8 Pb 0.875 0.713 0.338

4.
First-principles (GGA-PBE) data for CsTl4Pb2 after structural relaxation, as listed in Alexandria.

Results
Its formation energy is -0.039 eV per atom. Its crystal system is tetragonal.

Cell lengths 6.956, 6.956, 6.956 Å; angles 102.99, 102.99, 123.39 degrees
Atoms (fractional coordinates):
1 Cs 0.000 0.000 0.000
2 Tl 0.310 0.310 0.619
3 Tl 0.310 0.690 0.000
4 Tl 0.690 0.310 0.000
5 Tl 0.690 0.690 0.381
6 Pb 0.250 0.750 0.500
7 Pb 0.750 0.250 0.500

How do the records compare in E? In the order shown, they have -2.7286, -2.6281, -2.5757, -2.5730 eV/atom.